Record 1
UAg2Bi: relaxed, PBE.

## Properties
Energy of formation from the pure elements = 229.9 meV per atom
Total DFT energy (no corrections) = -4.988 eV/atom

Cell: 4.4808 4.4808 4.8312 Å, 90.00 90.00 90.00°
Fractional positions:
U: 0.0000 0.0000 0.0000
Ag: 0.0000 0.5000 0.5000
Ag: 0.5000 0.0000 0.5000
Bi: 0.5000 0.5000 0.0000

Record 2
Ca3Tc2: relaxed, PBE.

## Properties
Energy of formation from the pure elements = 627.0 meV per atom
ΔE to the lowest computed polymorph = 0 meV per atom
Total DFT energy (no corrections) = -4.720 eV/atom

Cell: 4.7788 4.7788 6.9829 Å, 90.00 90.00 120.00°
Fractional positions:
Ca: 0.0000 0.0000 0.0000
Ca: 0.3333 0.6667 0.3410
Ca: 0.6667 0.3333 0.6590
Tc: 0.3333 0.6667 0.9475
Tc: 0.6667 0.3333 0.0525

Record 3
Sc6InRh: relaxed, PBE.

## Properties
Energy of formation from the pure elements = -104.1 meV per atom
Total DFT energy (no corrections) = -6.114 eV/atom

Cell: 6.2289 6.2289 6.2532 Å, 102.99 102.99 117.65°
Fractional positions:
Sc: 0.0081 0.4222 0.2425
Sc: 0.2292 0.2292 0.7765
Sc: 0.4222 0.0081 0.2425
Sc: 0.5778 0.9919 0.7575
Sc: 0.7708 0.7708 0.2235
Sc: 0.9919 0.5778 0.7575
In: 0.5000 0.5000 0.5000
Rh: 0.0000 0.0000 0.0000

Record 4
FeHg2SbSe: relaxed, PBE.

## Properties
Energy relative to the elements, uncorrected = 0.43 eV per atom
Total DFT energy (no corrections) = -2.906 eV/atom

Cell: 5.1423 5.1423 4.7817 Å, 90.00 90.00 90.00°
Fractional positions:
Fe: 0.0000 0.0000 0.0000
Hg: 0.0000 0.5000 0.0000
Hg: 0.5000 0.0000 0.0000
Sb: 0.0000 0.0000 0.5000
Se: 0.5000 0.5000 0.5000

Record 5
NaSr2CrN4: relaxed, PBE.

## Properties
Energy relative to the elements, uncorrected = -0.57 eV per atom
Total DFT energy (no corrections) = -6.521 eV/atom

Cell: 7.7270 5.9093 5.7227 Å, 90.00 90.00 90.00°
Fractional positions:
Na: 0.0000 0.2192 0.0000
Na: 0.5000 0.7808 0.5000
Sr: 0.2445 0.7121 0.0009
Sr: 0.2555 0.2879 0.5009
Sr: 0.7445 0.2879 0.5009
Sr: 0.7555 0.7121 0.0009
Cr: 0.0000 0.7112 0.4993
Cr: 0.5000 0.2888 0.9993
N: 0.0000 0.5270 0.2605
N: 0.0000 0.5294 0.7404
N: 0.1907 0.8678 0.4977
N: 0.3093 0.1322 0.9977
N: 0.5000 0.4706 0.2404
N: 0.5000 0.4730 0.7605
N: 0.6907 0.1322 0.9977
N: 0.8093 0.8678 0.4977

Record 6
CsTl3Rh: relaxed, PBE.

## Properties
Energy of formation from the pure elements = 213.0 meV per atom
Total DFT energy (no corrections) = -2.848 eV/atom

Cell: 4.6030 4.6030 22.7046 Å, 90.00 90.00 120.00°
Fractional positions:
Cs: 0.0000 0.0000 0.0000
Cs: 0.0000 0.0000 0.5000
Tl: 0.0000 0.0000 0.2500
Tl: 0.0000 0.0000 0.7500
Tl: 0.3333 0.6667 0.1332
Tl: 0.3333 0.6667 0.3668
Tl: 0.6667 0.3333 0.6332
Tl: 0.6667 0.3333 0.8668
Rh: 0.3333 0.6667 0.2500
Rh: 0.6667 0.3333 0.7500

Record 7
CdNi2Pd: relaxed, PBE.

## Properties
Energy of formation from the pure elements = 348.9 meV per atom
Total DFT energy (no corrections) = -4.069 eV/atom

Cell: 9.4445 9.4445 9.4445 Å, 157.08 157.08 32.64°
Fractional positions:
Cd: 0.0000 0.0000 0.0000
Cd: 0.7500 0.2500 0.5000
Ni: 0.1650 0.6250 0.0400
Ni: 0.3750 0.4150 0.5400
Ni: 0.5850 0.1250 0.9600
Ni: 0.8750 0.8350 0.4600
Pd: 0.2500 0.7500 0.5000
Pd: 0.5000 0.5000 0.0000

Record 8
KLa2Mg2: relaxed, PBE.

## Properties
Energy of formation from the pure elements = 129.8 meV per atom
ΔE to the lowest computed polymorph = 0 meV per atom
Total DFT energy (no corrections) = -2.699 eV/atom

Cell: 10.0962 10.0962 3.5270 Å, 90.00 90.00 90.00°
Fractional positions:
K: 0.0000 0.0000 0.0000
K: 0.5000 0.5000 0.0000
La: 0.1133 0.3867 0.0000
La: 0.3867 0.8867 0.0000
La: 0.6133 0.1133 0.0000
La: 0.8867 0.6133 0.0000
Mg: 0.1759 0.6759 0.5000
Mg: 0.3241 0.1759 0.5000
Mg: 0.6759 0.8241 0.5000
Mg: 0.8241 0.3241 0.5000